DFT (SCAN) results for a PBEsol-optimized structure of LaSc2Ag.

Values from the calculation:
For the final energy, the calculation gives -25.72 eV/atom. As for the crystal system: tetragonal. The value obtained for the energy above the most stable polymorph in this dataset is 141.4 meV/atom.

a = 4.5090 Å, b = 4.5090 Å, c = 4.7157 Å
α = 90.00°, β = 90.00°, γ = 90.00°
Space group P4/mmm (No. 123)
One atom of each set of equivalent atoms:
La1 0.0000 0.0000 0.0000 x1
Sc1 0.0000 0.5000 0.5000 x2
Ag1 0.5000 0.5000 0.0000 x1

DFT (SCAN) results for a PBEsol-optimized structure of LaScAg2.

Values from the calculation:
For the final energy, the calculation gives -30.28 eV/atom. As for the crystal system: orthorhombic. The value obtained for the energy above the most stable polymorph in this dataset is 0.0 meV/atom.

a = 5.0693 Å, b = 5.0802 Å, c = 7.1699 Å
α = 90.00°, β = 90.00°, γ = 90.00°
Space group Immm (No. 71)
One atom of each set of equivalent atoms:
La1 0.0000 0.0000 0.0000 x2
Sc1 0.0000 0.0000 0.5000 x2
Ag1 0.0000 0.5000 0.2492 x4

DFT (SCAN) results for a PBEsol-optimized structure of LaScAg.

Values from the calculation:
For the final energy, the calculation gives -29.66 eV/atom. As for the crystal system: hexagonal. The value obtained for the energy above the most stable polymorph in this dataset is 90.2 meV/atom.

a = 4.8648 Å, b = 4.8648 Å, c = 3.6952 Å
α = 90.00°, β = 90.00°, γ = 120.00°
Space group P-6m2 (No. 187)
One atom of each set of equivalent atoms:
La1 0.0000 0.0000 0.0000 x1
Sc1 0.3333 0.6667 0.5000 x1
Ag1 0.6667 0.3333 0.5000 x1

DFT (SCAN) results for a PBEsol-optimized structure of La2ScAg.

Values from the calculation:
For the final energy, the calculation gives -32.96 eV/atom. As for the crystal system: orthorhombic. The value obtained for the energy above the most stable polymorph in this dataset is 113.0 meV/atom.

a = 3.7145 Å, b = 5.3625 Å, c = 10.6115 Å
α = 90.00°, β = 90.00°, γ = 90.00°
Space group Immm (No. 71)
One atom of each set of equivalent atoms:
La1 0.0000 0.0000 0.2330 x4
Sc1 0.0000 0.5000 0.0000 x2
Ag1 0.0000 0.5000 0.5000 x2

DFT (SCAN) results for a PBEsol-optimized structure of LaSc2Ag2.

Values from the calculation:
For the final energy, the calculation gives -27.04 eV/atom. As for the crystal system: tetragonal. The value obtained for the energy above the most stable polymorph in this dataset is 11.7 meV/atom.

a = 8.1000 Å, b = 8.1000 Å, c = 3.4593 Å
α = 90.00°, β = 90.00°, γ = 90.00°
Space group P4/mbm (No. 127)
One atom of each set of equivalent atoms:
La1 0.0000 0.0000 0.0000 x2
Sc1 0.1614 0.3386 0.5000 x4
Ag1 0.1252 0.6252 0.0000 x4

DFT (SCAN) results for a PBEsol-optimized structure of La2ScAg.

Values from the calculation:
For the final energy, the calculation gives -33.08 eV/atom. As for the crystal system: tetragonal. The value obtained for the energy above the most stable polymorph in this dataset is 0.0 meV/atom.

a = 3.5503 Å, b = 3.5503 Å, c = 8.4270 Å
α = 90.00°, β = 90.00°, γ = 90.00°
Space group P4mm (No. 99)
One atom of each set of equivalent atoms:
La1 0.0000 0.0000 0.0000 x1
La2 0.5000 0.5000 0.3061 x1
Sc1 0.0000 0.0000 0.5811 x1
Ag1 0.5000 0.5000 0.7501 x1